{
  "formula": "CeFe2Si3",
  "functional": "PBE",
  "state": "relaxed",
  "cell": [[-0.142, 1.346, -4.972], [-5.844, -1.129, -0.139], [0.452, 5.734, 1.540]],
  "species": ["Ce", "Ce", "Fe", "Fe", "Fe", "Fe", "Si", "Si", "Si", "Si", "Si", "Si"],
  "frac_coords": [[0.250, 0.345, 0.345], [0.750, 0.655, 0.655], [0.500, 0.803, 0.197], [0.000, 0.803, 0.197], [0.000, 0.197, 0.803], [0.500, 0.197, 0.803], [0.750, 0.475, 0.092], [0.750, 0.092, 0.475], [0.250, 0.525, 0.908], [0.750, 0.066, 0.066], [0.250, 0.934, 0.934], [0.250, 0.908, 0.525]],
  "spacegroup": "No. 63",
  "total_energy_ev_per_atom": -7.106,
  "raw_formation_energy_mev_per_atom": -584,
  "dos_at_fermi_per_ev_cell": 15.2
}

{
  "formula": "Ce4RuI5",
  "functional": "PBE",
  "state": "relaxed",
  "cell": [[-1.375, -1.800, -3.582], [-4.288, -6.486, 4.907], [-6.058, 7.840, 0.892]],
  "species": ["Ce", "Ce", "Ce", "Ce", "Ru", "I", "I", "I", "I", "I"],
  "frac_coords": [[0.358, 0.928, 0.715], [0.001, 0.791, 0.002], [0.642, 0.072, 0.285], [0.999, 0.209, 0.998], [0.500, 0.000, 0.000], [0.832, 0.656, 0.665], [0.826, 0.176, 0.652], [0.174, 0.824, 0.348], [0.500, 0.500, 0.000], [0.168, 0.344, 0.335]],
  "spacegroup": "No. 12",
  "total_energy_ev_per_atom": -5.101,
  "raw_formation_energy_mev_per_atom": -1025,
  "dos_at_fermi_per_ev_cell": 26.9
}

{
  "formula": "LaPmTl",
  "functional": "PBE",
  "state": "relaxed",
  "cell": [[-1.792, 1.971, 4.675], [-3.554, -2.798, 2.914], [1.516, -2.272, 4.635]],
  "species": ["Tl", "La", "Pm"],
  "frac_coords": [[0.250, 0.250, 0.250], [0.500, 0.500, 0.500], [0.000, 0.000, 0.000]],
  "spacegroup": "No. 216",
  "total_energy_ev_per_atom": -4.093,
  "polymorph_energy_mev_per_atom": 202,
  "delta_e_f_ev_per_atom": -0.08,
  "dos_at_fermi_per_ev_cell": 4.3
}

{
  "formula": "ScTiZn2S",
  "functional": "PBE",
  "state": "relaxed",
  "cell": [[4.688, 0.000, 0.000], [0.000, 4.522, 0.000], [0.000, 0.000, 4.688]],
  "species": ["Sc", "Zn", "Zn", "S", "Ti"],
  "frac_coords": [[0.500, 0.500, 0.500], [0.000, 0.000, 0.500], [0.500, 0.000, 0.000], [0.000, 0.000, 0.000], [0.000, 0.500, 0.000]],
  "spacegroup": "No. 123",
  "total_energy_ev_per_atom": -4.053,
  "raw_formation_energy_mev_per_atom": 128,
  "dos_at_fermi_per_ev_cell": 4.2
}

{
  "formula": "TbPr4Tm3",
  "functional": "PBE",
  "state": "relaxed",
  "cell": [[-2.088, 5.254, 2.796], [-6.661, -1.118, -2.874], [-3.001, -6.171, 9.356]],
  "species": ["Tb", "Tb", "Pr", "Pr", "Pr", "Pr", "Pr", "Pr", "Pr", "Pr", "Tm", "Tm", "Tm", "Tm", "Tm", "Tm"],
  "frac_coords": [[0.150, 0.378, 0.000], [0.650, 0.622, 0.500], [0.138, 0.870, 0.000], [0.651, 0.132, 0.000], [0.983, 0.128, 0.254], [0.483, 0.872, 0.246], [0.151, 0.868, 0.500], [0.638, 0.130, 0.500], [0.483, 0.872, 0.754], [0.983, 0.128, 0.746], [0.647, 0.617, 0.000], [0.981, 0.619, 0.250], [0.481, 0.381, 0.250], [0.147, 0.383, 0.500], [0.481, 0.381, 0.750], [0.981, 0.619, 0.750]],
  "spacegroup": "No. 31",
  "total_energy_ev_per_atom": -4.614,
  "delta_e_f_ev_per_atom": 0.03,
  "dos_at_fermi_per_ev_cell": 29.0
}

{
  "formula": "K3CaIn",
  "functional": "PBE",
  "state": "relaxed",
  "cell": [[7.287, 0.000, 0.000], [0.000, 7.287, 0.000], [0.000, 0.000, 7.287]],
  "species": ["Ca", "K", "K", "K", "In"],
  "frac_coords": [[0.000, 0.000, 0.000], [0.000, 0.500, 0.000], [0.000, 0.000, 0.500], [0.500, 0.000, 0.000], [0.500, 0.500, 0.500]],
  "spacegroup": "No. 221",
  "total_energy_ev_per_atom": -0.995,
  "polymorph_energy_mev_per_atom": 328,
  "delta_e_f_ev_per_atom": 0.61,
  "dos_at_fermi_per_ev_cell": 6.2
}

{
  "formula": "RbSb2MoI",
  "functional": "PBE",
  "state": "relaxed",
  "cell": [[5.223, 0.000, 0.000], [0.000, 5.223, 0.000], [0.000, 0.000, 6.385]],
  "species": ["I", "Sb", "Sb", "Mo", "Rb"],
  "frac_coords": [[0.000, 0.000, 0.500], [0.000, 0.500, 0.000], [0.500, 0.000, 0.000], [0.000, 0.000, 0.000], [0.500, 0.500, 0.500]],
  "spacegroup": "No. 123",
  "total_energy_ev_per_atom": -4.331,
  "polymorph_energy_mev_per_atom": 0,
  "raw_formation_energy_mev_per_atom": -12,
  "dos_at_fermi_per_ev_cell": 3.7
}

{
  "formula": "Pa3RuN7",
  "functional": "PBE",
  "state": "relaxed",
  "cell": [[-5.593, -1.758, -2.824], [4.538, -4.438, -1.436], [-1.850, -3.854, 6.065]],
  "species": ["Pa", "Pa", "Pa", "Pa", "Pa", "Pa", "Ru", "Ru", "N", "N", "N", "N", "N", "N", "N", "N", "N", "N", "N", "N", "N", "N"],
  "frac_coords": [[0.480, 0.480, 0.500], [0.520, 0.520, 0.000], [0.535, 0.000, 0.256], [0.465, 0.000, 0.756], [0.000, 0.535, 0.744], [0.000, 0.465, 0.244], [0.975, 0.975, 0.500], [0.025, 0.025, 0.000], [0.668, 0.916, 0.536], [0.332, 0.084, 0.036], [0.916, 0.668, 0.464], [0.084, 0.332, 0.964], [0.096, 0.352, 0.517], [0.904, 0.648, 0.017], [0.352, 0.096, 0.483], [0.648, 0.904, 0.983], [0.372, 0.628, 0.250], [0.628, 0.372, 0.750], [0.637, 0.363, 0.250], [0.363, 0.637, 0.750], [0.936, 0.064, 0.250], [0.064, 0.936, 0.750]],
  "spacegroup": "No. 20",
  "total_energy_ev_per_atom": -9.703,
  "raw_formation_energy_mev_per_atom": -972,
  "dos_at_fermi_per_ev_cell": 10.0
}